# NdTmSbAs PBE-GGA relaxed
# SG: R3m, No. 160
# DOS at the Fermi energy in states/eV/cell: 0.69
# Formation energy without anion corrections in eV/atom: -1.294
# Electronic total energy in Ha/atom: -0.213
# Calculated volume in Å³/f.u.: 112.42
data_NdTmSbAs
_cell_length_a 4.287
_cell_length_b 4.287
_cell_length_c 7.485
_cell_angle_alpha 73.36
_cell_angle_beta 73.36
_cell_angle_gamma 60.00
_space_group_name_H-M_alt 'P 1'
_space_group_IT_number 1
loop_
_space_group_symop_operation_xyz
'x,y,z'
loop_
_atom_site_label
_atom_site_type_symbol
_atom_site_fract_x
_atom_site_fract_y
_atom_site_fract_z
_atom_site_occupancy
Nd1 Nd 0.994 0.994 0.017 1
Tm1 Tm 0.506 0.506 0.483 1
Sb1 Sb 0.754 0.754 0.737 1
As1 As 0.246 0.246 0.262 1